# 1
The following is a DFT calculation (GGA-PBE) of a relaxed SrTiTc2H crystal.

Results
The space group is P4/mmm (123). The calculation puts the density of states at the Fermi level at 5.96 states/eV per cell. The energy relative to the lowest polymorph listed for this composition is 2135 meV/atom.

Cell: 5.049 5.049 5.431 Å, 90.00 90.00 90.00°
Element x y z (fractional)
Sr1 0.000 0.000 0.000
Ti1 0.000 0.000 0.500
Tc1 0.000 0.500 0.000
Tc2 0.500 0.000 0.000
H1 0.500 0.500 0.500

# 2
The following is a DFT calculation (GGA-PBE) of a relaxed NdSmLuZn crystal.

Results
The space group is F-43m (216). The calculation puts the density of states at the Fermi level at 4.38 states/eV per cell. The value obtained for the energy of formation from the pure elements is 0.01 eV per atom.

Cell: 5.390 5.390 5.390 Å, 60.00 60.00 60.00°
Element x y z (fractional)
Nd1 0.000 0.000 0.000
Sm1 0.500 0.500 0.500
Lu1 0.250 0.250 0.250
Zn1 0.750 0.750 0.750

# 3
The following is a DFT calculation (GGA-PBE) of a relaxed MnTe3Pb2 crystal.

Results
The space group is Pnma (62). The formation energy (no corrections) comes out at -0.250 eV/atom.

Cell: 8.495 4.449 21.614 Å, 90.00 90.00 90.00°
Element x y z (fractional)
Mn1 0.111 0.250 0.137
Mn2 0.389 0.750 0.637
Mn3 0.611 0.250 0.363
Mn4 0.889 0.750 0.863
Te1 0.050 0.250 0.905
Te2 0.094 0.750 0.582
Te3 0.189 0.250 0.258
Te4 0.311 0.750 0.758
Te5 0.406 0.250 0.082
Te6 0.450 0.750 0.405
Te7 0.550 0.250 0.595
Te8 0.594 0.750 0.918
Te9 0.689 0.250 0.242
Te10 0.811 0.750 0.742
Te11 0.906 0.250 0.418
Te12 0.950 0.750 0.095
Pb1 0.066 0.250 0.700
Pb2 0.235 0.750 0.000
Pb3 0.265 0.250 0.500
Pb4 0.434 0.750 0.200
Pb5 0.566 0.250 0.800
Pb6 0.735 0.750 0.500
Pb7 0.765 0.250 0.000
Pb8 0.934 0.750 0.300

# 4
The following is a DFT calculation (GGA-PBE) of a relaxed CsNdAgO3 crystal.

Results
The space group is P2_1/m (11). The calculation puts the density of states at the Fermi level at 2.13 states/eV per cell. The formation energy (no corrections) comes out at -1.636 eV/atom.

Cell: 8.053 3.774 10.041 Å, 90.00 111.97 90.00°
Element x y z (fractional)
Cs1 0.038 0.250 0.317
Cs2 0.962 0.750 0.683
Nd1 0.463 0.750 0.640
Nd2 0.537 0.250 0.360
Ag1 0.376 0.250 0.880
Ag2 0.624 0.750 0.120
O1 0.269 0.250 0.651
O2 0.366 0.750 0.390
O3 0.443 0.250 0.102
O4 0.557 0.750 0.898
O5 0.634 0.250 0.610
O6 0.731 0.750 0.349

# 5
The following is a DFT calculation (GGA-PBE) of a relaxed BeCu2W crystal.

Results
The space group is R-3m (166). The calculation puts the density of states at the Fermi level at 2.52 states/eV per cell. The energy relative to the lowest polymorph listed for this composition is 211 meV/atom. The value obtained for the energy of formation from the pure elements is 0.28 eV per atom.

Cell: 8.454 8.454 8.454 Å, 18.02 18.02 18.02°
Element x y z (fractional)
Be1 0.000 0.000 0.000
Cu1 0.259 0.259 0.259
Cu2 0.741 0.741 0.741
W1 0.500 0.500 0.500

# 6
The following is a DFT calculation (GGA-PBE) of a relaxed InBiSbI2 crystal.

Results
The space group is P4/mmm (123). The calculation puts the density of states at the Fermi level at 3.63 states/eV per cell. The formation energy (no corrections) comes out at 0.163 eV/atom. The energy relative to the lowest polymorph listed for this composition is 0 meV/atom.

Cell: 6.280 6.280 5.906 Å, 90.00 90.00 90.00°
Element x y z (fractional)
In1 0.000 0.000 0.000
Bi1 0.500 0.500 0.500
Sb1 0.500 0.500 0.000
I1 0.000 0.500 0.500
I2 0.500 0.000 0.500

# 7
The following is a DFT calculation (GGA-PBE) of a relaxed PmSc4As5 crystal.

Results
The space group is Immm (71). The calculation puts the density of states at the Fermi level at 1.85 states/eV per cell. The value obtained for the energy of formation from the pure elements is -1.37 eV per atom.

Cell: 10.453 10.453 10.453 Å, 158.21 148.75 38.42°
Element x y z (fractional)
Pm1 0.000 0.000 0.000
Sc1 0.204 0.204 0.000
Sc2 0.399 0.399 0.000
Sc3 0.601 0.601 0.000
Sc4 0.796 0.796 0.000
As1 0.109 0.609 0.500
As2 0.301 0.801 0.500
As3 0.500 0.000 0.500
As4 0.699 0.199 0.500
As5 0.891 0.391 0.500

# 8
The following is a DFT calculation (GGA-PBE) of a relaxed TbHoCdRu crystal.

Results
The space group is F-43m (216). The calculation puts the density of states at the Fermi level at 3.58 states/eV per cell. The energy relative to the lowest polymorph listed for this composition is 113 meV/atom. The value obtained for the energy of formation from the pure elements is -0.29 eV per atom.

Cell: 5.030 5.030 5.030 Å, 60.00 60.00 60.00°
Element x y z (fractional)
Tb1 0.000 0.000 0.000
Ho1 0.500 0.500 0.500
Cd1 0.250 0.250 0.250
Ru1 0.750 0.750 0.750

# 9
The following is a DFT calculation (GGA-PBE) of a relaxed K2Ba5Cl12 crystal.

Results
The space group is C2/m (12). The calculation puts the density of states at the Fermi level at 0.00 states/eV per cell. The formation energy (no corrections) comes out at -2.364 eV/atom.

Cell: 9.551 9.551 10.334 Å, 106.25 106.25 49.34°
Element x y z (fractional)
K1 0.231 0.769 0.000
K2 0.769 0.231 0.000
Ba1 0.000 0.000 0.500
Ba2 0.305 0.305 0.650
Ba3 0.319 0.319 0.159
Ba4 0.681 0.681 0.841
Ba5 0.695 0.695 0.350
Cl1 0.044 0.044 0.800
Cl2 0.087 0.545 0.897
Cl3 0.099 0.592 0.437
Cl4 0.408 0.901 0.563
Cl5 0.455 0.913 0.103
Cl6 0.495 0.495 0.776
Cl7 0.505 0.505 0.224
Cl8 0.545 0.087 0.897
Cl9 0.592 0.099 0.437
Cl10 0.901 0.408 0.563
Cl11 0.913 0.455 0.103
Cl12 0.956 0.956 0.200

# 10
The following is a DFT calculation (GGA-PBE) of a relaxed ZrInAg2H crystal.

Results
The space group is P4/mmm (123). The calculation puts the density of states at the Fermi level at 3.19 states/eV per cell.

Cell: 4.482 4.482 4.156 Å, 90.00 90.00 90.00°
Element x y z (fractional)
Zr1 0.000 0.000 0.000
In1 0.500 0.500 0.000
Ag1 0.000 0.500 0.500
Ag2 0.500 0.000 0.500
H1 0.000 0.000 0.500

# 11
The following is a DFT calculation (GGA-PBE) of a relaxed Mg3ZrRh crystal.

Results
The space group is Pm-3m (221). The calculation puts the density of states at the Fermi level at 5.38 states/eV per cell. The energy relative to the lowest polymorph listed for this composition is 1452 meV/atom. The value obtained for the energy of formation from the pure elements is 1.65 eV per atom.

Cell: 5.368 5.368 5.368 Å, 90.00 90.00 90.00°
Element x y z (fractional)
Mg1 0.000 0.000 0.500
Mg2 0.000 0.500 0.000
Mg3 0.500 0.000 0.000
Zr1 0.000 0.000 0.000
Rh1 0.500 0.500 0.500

# 12
The following is a DFT calculation (GGA-PBE) of a relaxed MgAlHg2 crystal.

Results
The space group is P2/m (10). The calculation puts the density of states at the Fermi level at 1.61 states/eV per cell. The value obtained for the energy of formation from the pure elements is -0.02 eV per atom.

Cell: 4.757 3.464 5.701 Å, 90.00 114.00 90.00°
Element x y z (fractional)
Mg1 0.000 0.000 0.000
Al1 0.000 0.500 0.500
Hg1 0.500 0.000 0.500
Hg2 0.500 0.500 0.000

# 13
The following is a DFT calculation (GGA-PBE) of a relaxed TiNbInFe2 crystal.

Results
The space group is P4/mmm (123). The calculation puts the density of states at the Fermi level at 4.91 states/eV per cell. The value obtained for the energy of formation from the pure elements is 1.07 eV per atom.

Cell: 4.223 4.223 5.109 Å, 90.00 90.00 90.00°
Element x y z (fractional)
Ti1 0.000 0.000 0.000
Nb1 0.500 0.500 0.500
In1 0.000 0.000 0.500
Fe1 0.000 0.500 0.000
Fe2 0.500 0.000 0.000

# 14
The following is a DFT calculation (GGA-PBE) of a relaxed Dy2Ga3Pt4Au crystal.

Results
The space group is P-4m2 (115). The calculation puts the density of states at the Fermi level at 4.21 states/eV per cell. The value obtained for the energy of formation from the pure elements is -0.89 eV per atom.

Cell: 4.005 4.005 11.866 Å, 90.00 90.00 90.00°
Element x y z (fractional)
Dy1 0.000 0.500 0.245
Dy2 0.500 0.000 0.755
Ga1 0.000 0.000 0.000
Ga2 0.000 0.500 0.630
Ga3 0.500 0.000 0.370
Pt1 0.000 0.000 0.500
Pt2 0.000 0.500 0.836
Pt3 0.500 0.000 0.164
Pt4 0.500 0.500 0.500
Au1 0.500 0.500 0.000

# 15
The following is a DFT calculation (GGA-PBE) of a relaxed RbBa2Ca crystal.

Results
The space group is P4/mmm (123). The calculation puts the density of states at the Fermi level at 6.54 states/eV per cell. The energy relative to the lowest polymorph listed for this composition is 0 meV/atom. The value obtained for the energy of formation from the pure elements is 0.09 eV per atom.

Cell: 4.423 4.423 12.984 Å, 90.00 90.00 90.00°
Element x y z (fractional)
Rb1 0.000 0.000 0.000
Ba1 0.500 0.500 0.287
Ba2 0.500 0.500 0.713
Ca1 0.000 0.000 0.500

# 16
The following is a DFT calculation (GGA-PBE) of a relaxed Sr2Bi3Pd9 crystal.

Results
The space group is Cmcm (63). The calculation puts the density of states at the Fermi level at 15.32 states/eV per cell. The value obtained for the energy of formation from the pure elements is -0.46 eV per atom.

Cell: 8.371 8.371 9.455 Å, 90.00 90.00 60.74°
Element x y z (fractional)
Sr1 0.023 0.671 0.750
Sr2 0.329 0.977 0.750
Sr3 0.671 0.023 0.250
Sr4 0.977 0.329 0.250
Bi1 0.000 0.000 0.000
Bi2 0.000 0.000 0.500
Bi3 0.316 0.316 0.000
Bi4 0.316 0.316 0.500
Bi5 0.684 0.684 0.000
Bi6 0.684 0.684 0.500
Pd1 0.013 0.655 0.091
Pd2 0.013 0.655 0.409
Pd3 0.157 0.843 0.250
Pd4 0.339 0.661 0.522
Pd5 0.339 0.661 0.978
Pd6 0.345 0.987 0.091
Pd7 0.345 0.987 0.409
Pd8 0.359 0.453 0.250
Pd9 0.453 0.359 0.750
Pd10 0.547 0.641 0.250
Pd11 0.641 0.547 0.750
Pd12 0.655 0.013 0.591
Pd13 0.655 0.013 0.909
Pd14 0.661 0.339 0.022
Pd15 0.661 0.339 0.478
Pd16 0.843 0.157 0.750
Pd17 0.987 0.345 0.591
Pd18 0.987 0.345 0.909

# 17
The following is a DFT calculation (GGA-PBE) of a relaxed LaMnCu2 crystal.

Results
The space group is Imm2 (44). The calculation puts the density of states at the Fermi level at 3.94 states/eV per cell. The value obtained for the energy of formation from the pure elements is 0.26 eV per atom.

Cell: 5.390 5.390 5.390 Å, 142.41 127.31 66.51°
Element x y z (fractional)
La1 0.000 0.000 0.000
Mn1 0.285 0.785 0.500
Cu1 0.525 0.525 0.000
Cu2 0.726 0.226 0.500

# 18
The following is a DFT calculation (GGA-PBE) of a relaxed SrBePt crystal.

Results
The space group is P2_13 (198). The calculation puts the density of states at the Fermi level at 2.73 states/eV per cell. The energy relative to the lowest polymorph listed for this composition is 13 meV/atom. The value obtained for the energy of formation from the pure elements is -0.60 eV per atom.

Cell: 6.344 6.344 6.344 Å, 90.00 90.00 90.00°
Element x y z (fractional)
Sr1 0.134 0.134 0.134
Sr2 0.366 0.866 0.634
Sr3 0.634 0.366 0.866
Sr4 0.866 0.634 0.366
Be1 0.151 0.349 0.651
Be2 0.349 0.651 0.151
Be3 0.651 0.151 0.349
Be4 0.849 0.849 0.849
Pt1 0.090 0.590 0.910
Pt2 0.410 0.410 0.410
Pt3 0.590 0.910 0.090
Pt4 0.910 0.090 0.590

# 19
The following is a DFT calculation (GGA-PBE) of a relaxed TmScTlPb crystal.

Results
The space group is F-43m (216). The calculation puts the density of states at the Fermi level at 4.43 states/eV per cell. The value obtained for the energy of formation from the pure elements is -0.26 eV per atom.

Cell: 5.261 5.261 5.261 Å, 60.00 60.00 60.00°
Element x y z (fractional)
Tm1 0.000 0.000 0.000
Sc1 0.500 0.500 0.500
Tl1 0.750 0.750 0.750
Pb1 0.250 0.250 0.250

# 20
The following is a DFT calculation (GGA-PBE) of a relaxed Tl4Cu5S6 crystal.

Results
The space group is Cmc2_1 (36). The calculation puts the density of states at the Fermi level at 19.35 states/eV per cell. The formation energy (no corrections) comes out at -0.207 eV/atom.

Cell: 11.466 11.466 16.073 Å, 90.00 90.00 161.04°
Element x y z (fractional)
Tl1 0.005 0.995 0.500
Tl2 0.025 0.975 0.728
Tl3 0.140 0.860 0.202
Tl4 0.222 0.778 0.614
Tl5 0.778 0.222 0.114
Tl6 0.860 0.140 0.702
Tl7 0.975 0.025 0.228
Tl8 0.995 0.005 0.000
Cu1 0.136 0.864 0.887
Cu2 0.274 0.726 0.920
Cu3 0.335 0.665 0.271
Cu4 0.360 0.640 0.016
Cu5 0.368 0.632 0.511
Cu6 0.632 0.368 0.011
Cu7 0.640 0.360 0.516
Cu8 0.665 0.335 0.771
Cu9 0.726 0.274 0.420
Cu10 0.864 0.136 0.387
S1 0.159 0.841 0.434
S2 0.192 0.808 0.010
S3 0.220 0.780 0.803
S4 0.388 0.612 0.149
S5 0.420 0.580 0.379
S6 0.437 0.563 0.614
S7 0.563 0.437 0.114
S8 0.580 0.420 0.879
S9 0.612 0.388 0.649
S10 0.780 0.220 0.303
S11 0.808 0.192 0.510
S12 0.841 0.159 0.934

# 21
The following is a DFT calculation (GGA-PBE) of a relaxed Rb2ThCuTe4 crystal.

Results
The space group is C2/c (15). The calculation puts the density of states at the Fermi level at 10.60 states/eV per cell. The formation energy (no corrections) comes out at -0.748 eV/atom.

Cell: 9.643 9.643 9.050 Å, 117.94 117.94 94.64°
Element x y z (fractional)
Rb1 0.000 0.000 0.000
Rb2 0.000 0.000 0.500
Rb3 0.000 0.500 0.000
Rb4 0.500 0.000 0.500
Th1 0.000 0.500 0.500
Th2 0.500 0.000 0.000
Cu1 0.500 0.500 0.000
Cu2 0.500 0.500 0.500
Te1 0.245 0.755 0.529
Te2 0.245 0.755 0.971
Te3 0.297 0.344 0.569
Te4 0.344 0.297 0.069
Te5 0.656 0.703 0.931
Te6 0.703 0.656 0.431
Te7 0.755 0.245 0.029
Te8 0.755 0.245 0.471

# 22
The following is a DFT calculation (GGA-PBE) of a relaxed CeNd3Ho2P6 crystal.

Results
The space group is C2/m (12). The calculation puts the density of states at the Fermi level at 4.84 states/eV per cell. The value obtained for the energy of formation from the pure elements is -1.56 eV per atom.

Cell: 7.080 7.080 7.095 Å, 99.58 99.58 119.99°
Element x y z (fractional)
Ce1 0.000 0.000 0.000
Nd1 0.167 0.833 0.500
Nd2 0.500 0.500 0.500
Nd3 0.833 0.167 0.500
Ho1 0.333 0.667 0.000
Ho2 0.667 0.333 0.000
P1 0.080 0.413 0.240
P2 0.254 0.254 0.761
P3 0.413 0.080 0.240
P4 0.587 0.920 0.760
P5 0.746 0.746 0.239
P6 0.920 0.587 0.760

Per-record electronic total energy, eV per cell: -18.20 -15.26 -110.05 -66.33 -23.73 -13.03 -67.02 -20.57 -78.88 -20.69 -12.44 -6.02 -32.25 -54.58 -6.46 -136.45 -21.26 -52.99 -17.94 -115.63 -64.00 -80.57
Per-record density, g cm⁻³: 4.0 8.0 6.9 5.1 10.5 5.0 5.3 9.9 2.9 8.4 2.9 8.8 6.7 13.2 2.6 10.1 7.1 7.6 10.1 6.4 5.4 6.2